No. 1
! Y2AlGaGe | Alexandria | PBE | relaxed; values from VASP
! DOS at the Fermi energy = 3.10 states/eV/cell
! Size of the total moment = 0.000 μB per atom
! E_form = -14.36 kcal/mol of atoms
! Electronic total energy = -5.486 eV per atom
&SYSTEM
  ibrav = 0, nat = 10, ntyp = 4
/
ATOMIC_SPECIES
Y 88.91 Y.upf
Al 26.98 Al.upf
Ga 69.72 Ga.upf
Ge 72.64 Ge.upf
ATOMIC_POSITIONS crystal
Y 0.002 0.250 0.226
Y 0.498 0.250 0.227
Y 0.502 0.750 0.773
Y 0.998 0.750 0.774
Al 0.249 0.250 0.584
Al 0.751 0.750 0.416
Ga 0.249 0.750 0.402
Ga 0.751 0.250 0.598
Ge 0.251 0.250 0.915
Ge 0.749 0.750 0.085
CELL_PARAMETERS angstrom
7.246 0.000 0.000
0.000 4.296 0.000
-0.006 0.000 7.520


No. 2
! AlGaH2 | Alexandria | PBE | relaxed; values from VASP
! DOS at the Fermi energy = 0.94 states/eV/cell
! Size of the total moment = 0.000 μB per atom
! Electronic total energy = -2.819 eV per atom
&SYSTEM
  ibrav = 0, nat = 4, ntyp = 3
/
ATOMIC_SPECIES
Al 26.98 Al.upf
Ga 69.72 Ga.upf
H 1.01 H.upf
ATOMIC_POSITIONS crystal
Al 0.000 0.000 0.000
Ga 0.500 0.500 0.500
H 0.250 0.250 0.250
H 0.750 0.750 0.750
CELL_PARAMETERS angstrom
0.000 2.781 2.781
2.781 0.000 2.781
2.781 2.781 0.000


No. 3
! AlGaH | Alexandria | PBE | relaxed; values from VASP
! DOS at the Fermi energy = 1.26 states/eV/cell
! Size of the total moment = 0.000 μB per atom
! Electronic total energy = -3.238 eV per atom
&SYSTEM
  ibrav = 0, nat = 6, ntyp = 3
/
ATOMIC_SPECIES
Al 26.98 Al.upf
Ga 69.72 Ga.upf
H 1.01 H.upf
ATOMIC_POSITIONS crystal
Al 0.000 0.000 0.000
Al 0.199 0.454 0.827
Ga 0.650 0.329 0.403
Ga 0.814 0.726 0.282
H 0.033 0.117 0.781
H 0.399 0.798 0.817
CELL_PARAMETERS angstrom
2.839 0.000 0.000
-1.038 5.562 0.000
-0.064 -2.692 5.358


No. 4
! AlGaH | Alexandria | PBE | relaxed; values from VASP
! DOS at the Fermi energy = 1.00 states/eV/cell
! Size of the total moment = 0.000 μB per atom
! Electronic total energy = -3.234 eV per atom
&SYSTEM
  ibrav = 0, nat = 6, ntyp = 3
/
ATOMIC_SPECIES
Al 26.98 Al.upf
Ga 69.72 Ga.upf
H 1.01 H.upf
ATOMIC_POSITIONS crystal
Al 0.000 0.000 0.000
Al 0.500 0.500 0.000
Ga 0.231 0.500 0.404
Ga 0.769 0.500 0.596
H 0.322 0.000 0.850
H 0.678 0.000 0.150
CELL_PARAMETERS angstrom
4.895 0.000 0.000
0.000 2.946 0.000
-0.654 0.000 5.505


No. 5
! Al3GaH | Alexandria | PBE | relaxed; values from VASP
! DOS at the Fermi energy = 1.33 states/eV/cell
! Size of the total moment = 0.000 μB per atom
! Electronic total energy = -3.342 eV per atom
&SYSTEM
  ibrav = 0, nat = 5, ntyp = 3
/
ATOMIC_SPECIES
Al 26.98 Al.upf
Ga 69.72 Ga.upf
H 1.01 H.upf
ATOMIC_POSITIONS crystal
Al 0.000 0.000 0.500
Al 0.000 0.500 0.000
Al 0.500 0.000 0.000
Ga 0.500 0.500 0.500
H 0.000 0.000 0.000
CELL_PARAMETERS angstrom
4.132 0.000 0.000
0.000 4.132 0.000
0.000 0.000 4.132


No. 6
! AlGaH | Alexandria | PBE | relaxed; values from VASP
! DOS at the Fermi energy = 0.89 states/eV/cell
! Size of the total moment = 0.000 μB per atom
! Electronic total energy = -3.214 eV per atom
&SYSTEM
  ibrav = 0, nat = 6, ntyp = 3
/
ATOMIC_SPECIES
Al 26.98 Al.upf
Ga 69.72 Ga.upf
H 1.01 H.upf
ATOMIC_POSITIONS crystal
Al 0.215 0.215 0.284
Al 0.785 0.785 0.716
Ga 0.084 0.084 0.862
Ga 0.916 0.916 0.138
H 0.343 0.343 0.556
H 0.657 0.657 0.444
CELL_PARAMETERS angstrom
4.908 -1.393 0.000
4.908 1.393 0.000
-1.478 0.000 6.239


Q: Which formula does entry 2 have?
A: AlGaH2


Q: Which value of size of the total moment does entry 6 give?
A: 0.000 μB per atom